# 1
# ScPd6Pt23

A geometry-optimized ScPd6Pt23 structure (PBE, Alexandria via LeMat-Bulk).

Summary:
The symmetry is I4/mmm, No. 139. Its raw total energy is -180.34 eV per formula unit.

a = 9.606 Å, b = 9.606 Å, c = 7.884 Å
α = 65.77°, β = 65.77°, γ = 48.46°
Sites, in units of the cell vectors:
1 Sc 0.500 0.500 0.500
2 Pd 0.750 0.750 0.250
3 Pd 0.250 0.250 0.750
4 Pd 0.748 0.252 0.252
5 Pd 0.252 0.748 0.748
6 Pd 0.748 0.252 0.748
7 Pd 0.252 0.748 0.252
8 Pt 0.620 0.126 0.127
9 Pt 0.380 0.874 0.873
10 Pt 0.127 0.127 0.620
11 Pt 0.127 0.127 0.126
12 Pt 0.873 0.873 0.380
13 Pt 0.873 0.873 0.874
14 Pt 0.126 0.620 0.127
15 Pt 0.874 0.380 0.873
16 Pt 0.500 0.500 0.000
17 Pt 0.000 0.000 0.500
18 Pt 0.500 0.000 0.000
19 Pt 0.000 0.500 0.500
20 Pt 0.500 0.000 0.500
21 Pt 0.000 0.500 0.000
22 Pt 0.884 0.374 0.371
23 Pt 0.116 0.626 0.629
24 Pt 0.371 0.371 0.884
25 Pt 0.371 0.371 0.374
26 Pt 0.629 0.629 0.116
27 Pt 0.629 0.629 0.626
28 Pt 0.374 0.884 0.371
29 Pt 0.626 0.116 0.629
30 Pt 0.000 0.000 0.000

***

# 2
# LiTm4Te5

A geometry-optimized LiTm4Te5 structure (PBE, Alexandria via LeMat-Bulk).

Summary:
The symmetry is I4/m, No. 87. For the energy relative to the elements, uncorrected, the calculation gives -1.225 eV per atom. Its raw total energy is -47.76 eV per formula unit.

a = 6.057 Å, b = 7.421 Å, c = 7.421 Å
α = 80.41°, β = 65.91°, γ = 65.91°
Sites, in units of the cell vectors:
1 Li 0.001 0.000 0.000
2 Tm 0.404 0.400 0.794
3 Tm 0.804 0.794 0.600
4 Tm 0.198 0.206 0.400
5 Tm 0.598 0.600 0.206
6 Te 0.903 0.388 0.807
7 Te 0.292 0.807 0.612
8 Te 0.711 0.193 0.388
9 Te 0.099 0.612 0.193
10 Te 0.501 0.000 0.000

***

# 3
# Li2ScAgF6

A geometry-optimized Li2ScAgF6 structure (PBE, Alexandria via LeMat-Bulk).

Summary:
The symmetry is R3, No. 146. For the energy relative to the elements, uncorrected, the calculation gives -2.938 eV per atom. Its raw total energy is -53.62 eV per formula unit.

a = 5.451 Å, b = 5.451 Å, c = 5.834 Å
α = 62.15°, β = 62.17°, γ = 60.00°
Sites, in units of the cell vectors:
1 Li 0.527 0.527 0.419
2 Li 0.020 0.020 0.938
3 Sc 0.318 0.318 0.046
4 Ag 0.799 0.799 0.604
5 F 0.582 0.265 0.234
6 F 0.265 0.919 0.234
7 F 0.919 0.582 0.233
8 F 0.343 0.722 0.769
9 F 0.721 0.167 0.768
10 F 0.166 0.343 0.769

***

# 4
# ZrHg2

A geometry-optimized ZrHg2 structure (PBE, Alexandria via LeMat-Bulk).

Summary:
The symmetry is Cmcm, No. 63. Its raw total energy is -9.21 eV per formula unit.

a = 7.968 Å, b = 7.968 Å, c = 5.093 Å
α = 90.00°, β = 90.00°, γ = 155.97°
Sites, in units of the cell vectors:
1 Zr 0.391 0.609 0.750
2 Zr 0.609 0.391 0.250
3 Hg 0.724 0.276 0.750
4 Hg 0.942 0.058 0.250
5 Hg 0.058 0.942 0.750
6 Hg 0.276 0.724 0.250

***

# 5
# TbNd5Y

A geometry-optimized TbNd5Y structure (PBE, Alexandria via LeMat-Bulk).

Summary:
The symmetry is C2/c, No. 15. As for the polymorph energy (0 for the lowest one): 15 meV per atom. Its raw total energy is -33.77 eV per formula unit.

a = 6.230 Å, b = 9.394 Å, c = 9.063 Å
α = 86.32°, β = 78.84°, γ = 70.63°
Sites, in units of the cell vectors:
1 Tb 0.000 0.000 0.000
2 Tb 0.000 0.000 0.500
3 Nd 0.388 0.629 0.854
4 Nd 0.460 0.307 0.536
5 Nd 0.017 0.371 0.354
6 Nd 0.859 0.283 0.750
7 Nd 0.233 0.307 0.964
8 Nd 0.767 0.693 0.036
9 Nd 0.141 0.717 0.250
10 Nd 0.983 0.629 0.646
11 Nd 0.540 0.693 0.464
12 Nd 0.612 0.371 0.146
13 Y 0.510 0.980 0.750
14 Y 0.490 0.020 0.250

***

Number 1: density 17.7 g/cm3. Number 2: density 7.9 g/cm3. Number 3: density 3.7 g/cm3. Number 4: density 12.4 g/cm3. Number 5: density 6.6 g/cm3.